Entry 1:
DFT (GGA-PBE) results for an optimized crystal structure of Mn3Ni4H9.

Lattice parameters (Å, degrees): 4.475 4.475 6.995 71.34 71.34 60.00
Sites, in units of the cell vectors:
Ni 0.703 0.703 0.891
H 0.970 0.427 0.067
Mn 0.419 0.419 0.743
Mn 0.848 0.848 0.456
H 0.404 0.862 0.431
Mn 0.988 0.988 0.036
Ni 0.131 0.131 0.606
H 0.843 0.413 0.752
H 0.536 0.970 0.067
H 0.303 0.404 0.431
Ni 0.259 0.259 0.222
H 0.993 0.843 0.752
Ni 0.575 0.575 0.274
H 0.862 0.303 0.431
H 0.427 0.536 0.067
H 0.413 0.993 0.752

## Properties
total magnetic moment	11.9	Bohr magnetons per cell
symmetry	R3
total energy	-5.01	eV/atom

Entry 2:
DFT (GGA-PBE) results for an optimized crystal structure of MnNi4H5.

Lattice parameters (Å, degrees): 3.771 4.609 4.609 80.36 65.85 65.85
Sites, in units of the cell vectors:
H 0.501 0.000 0.000
H 0.683 0.209 0.426
H 0.318 0.791 0.574
Ni 0.605 0.598 0.194
Mn 0.001 0.000 0.000
Ni 0.398 0.402 0.806
H 0.892 0.426 0.791
Ni 0.800 0.806 0.598
H 0.109 0.574 0.209
Ni 0.203 0.194 0.402

## Properties
total magnetic moment	4.3	Bohr magnetons per cell
symmetry	I4/m
total energy	-4.98	eV/atom

total magnetic moment of number 2 (MnNi4H5)? 4.3 Bohr magnetons per cell